First-principles (SCAN) data for a crystal of Y3GeB relaxed with PBEsol, as listed in Alexandria via LeMat-Bulk.

a = 4.887 Å, b = 4.887 Å, c = 4.887 Å
α = 90.00°, β = 90.00°, γ = 90.00°
Atoms (fractional coordinates):
Y (0.500, 0.000, 0.000)
B (0.000, 0.000, 0.000)
Y (0.000, 0.000, 0.500)
Y (0.000, 0.500, 0.000)
Ge (0.500, 0.500, 0.500)

## Properties
ΔH_f (0 K)	-440	meV/atom
total magnetization	0.0	Bohr magnetons per cell
V	116.74	Å³/cell
ΔE to the lowest computed polymorph	0	meV per atom
space-group type	Pm-3m (221)